A plane-wave DFT calculation with PBEsol was carried out for crystalline BaHg2Cl2O2 at its relaxed geometry.

abc: 11.9079 11.9079 4.2579
angles: 90.00 90.00 90.00
With the nearest neighbours (Å) after each atom.
Positions (direct):
Ba (0.1350, 0.3650, 0.0000)  4 O 2.73
Ba (0.3650, 0.8650, 0.0000)  4 O 2.73
Ba (0.6350, 0.1350, 0.0000)  4 O 2.73
Ba (0.8650, 0.6350, 0.0000)  4 O 2.73
Hg (0.0795, 0.8272, 0.5000)  2 O 2.07-2.08
Hg (0.1728, 0.0795, 0.5000)  2 O 2.07-2.08
Hg (0.3272, 0.5795, 0.5000)  2 O 2.07-2.08
Hg (0.4205, 0.3272, 0.5000)  2 O 2.07-2.08
Hg (0.5795, 0.6728, 0.5000)  2 O 2.07-2.08
Hg (0.6728, 0.4205, 0.5000)  2 O 2.07-2.08
Hg (0.8272, 0.9205, 0.5000)  2 O 2.07-2.08
Hg (0.9205, 0.1728, 0.5000)  2 O 2.07-2.08
Cl (0.0000, 0.0000, 0.0000)  8 Hg 3.11
Cl (0.0000, 0.5000, 0.5000)  4 Ba 3.12, 4 O 3.37
Cl (0.1725, 0.6725, 0.0000)  4 Hg 3.02, 1 Ba 3.24
Cl (0.3275, 0.1725, 0.0000)  4 Hg 3.02, 1 Ba 3.24
Cl (0.5000, 0.0000, 0.5000)  4 Ba 3.12, 4 O 3.37
Cl (0.5000, 0.5000, 0.0000)  8 Hg 3.11
Cl (0.6725, 0.8275, 0.0000)  4 Hg 3.02, 1 Ba 3.24
Cl (0.8275, 0.3275, 0.0000)  4 Hg 3.02, 1 Ba 3.24
O (0.0847, 0.2303, 0.5000)  2 Hg 2.07-2.08
O (0.2303, 0.9153, 0.5000)  2 Hg 2.07-2.08
O (0.2697, 0.4153, 0.5000)  2 Hg 2.07-2.08
O (0.4153, 0.7303, 0.5000)  2 Hg 2.07-2.08
O (0.5847, 0.2697, 0.5000)  2 Hg 2.07-2.08
O (0.7303, 0.5847, 0.5000)  2 Hg 2.07-2.08
O (0.7697, 0.0847, 0.5000)  2 Hg 2.07-2.08
O (0.9153, 0.7697, 0.5000)  2 Hg 2.07-2.08

Computed properties:
calculated total energy: -3.84 eV/atom
formation energy without anion corrections: -1.29 eV/atom
crystal system: tetragonal


A plane-wave DFT calculation with PBEsol was carried out for crystalline NaTaBeSi2 at its relaxed geometry.

abc: 4.2774 4.2774 4.2316
angles: 90.00 90.00 90.00
With the nearest neighbours (Å) after each atom.
Positions (direct):
Na (0.0000, 0.0000, 0.0000)  2 Be 2.12
Ta (0.5000, 0.5000, 0.0000)  8 Si 3.01, 4 Na 3.02
Be (0.0000, 0.0000, 0.5000)  2 Na 2.12, 4 Si 2.14
Si (0.0000, 0.5000, 0.5000)  2 Be 2.14
Si (0.5000, 0.0000, 0.5000)  2 Be 2.14

Computed properties:
calculated total energy: -4.89 eV/atom
formation energy without anion corrections: 1.00 eV/atom
crystal system: tetragonal


A plane-wave DFT calculation with PBEsol was carried out for crystalline ZrSc8 at its relaxed geometry.

abc: 7.1611 7.1611 7.1611
angles: 95.70 95.70 143.25
With the nearest neighbours (Å) after each atom.
Positions (direct):
Zr (0.0000, 0.0000, 0.0000)  12 Sc 3.16
Sc (0.0000, 0.3289, 0.3289)  1 Zr 3.16, 11 Sc 3.18-3.29
Sc (0.0000, 0.6711, 0.6711)  1 Zr 3.16, 11 Sc 3.18-3.29
Sc (0.3289, 0.0000, 0.3289)  1 Zr 3.16, 11 Sc 3.18-3.29
Sc (0.3375, 0.3375, 0.6750)  10 Sc 3.12-3.28, 2 Zr 3.16
Sc (0.3375, 0.6625, 0.0000)  10 Sc 3.12-3.28, 2 Zr 3.16
Sc (0.6625, 0.3375, 0.0000)  10 Sc 3.12-3.28, 2 Zr 3.16
Sc (0.6625, 0.6625, 0.3250)  10 Sc 3.12-3.28, 2 Zr 3.16
Sc (0.6711, 0.0000, 0.6711)  1 Zr 3.16, 11 Sc 3.18-3.29

Computed properties:
calculated total energy: -6.85 eV/atom
ΔE_f: 0.30 eV per formula unit
crystal system: tetragonal


A plane-wave DFT calculation with PBEsol was carried out for crystalline ReSb2Pt at its relaxed geometry.

abc: 5.3709 5.3709 3.2970
angles: 107.01 107.01 111.01
With the nearest neighbours (Å) after each atom.
Positions (direct):
Re (0.0000, 0.0000, 0.0000)  4 Sb 2.71
Sb (0.0000, 0.5000, 0.5000)  2 Re 2.71, 2 Pt 2.71
Sb (0.5000, 0.0000, 0.5000)  2 Re 2.71, 2 Pt 2.71
Pt (0.5000, 0.5000, 0.0000)  4 Sb 2.71

Computed properties:
calculated total energy: -6.70 eV/atom
formation energy without anion corrections: 0.65 eV/atom
crystal system: monoclinic


A plane-wave DFT calculation with PBEsol was carried out for crystalline TmLuRu2 at its relaxed geometry.

abc: 4.6489 4.6489 4.6489
angles: 60.00 60.00 60.00
With the nearest neighbours (Å) after each atom.
Positions (direct):
Tm (0.0000, 0.0000, 0.0000)  8 Ru 2.85
Lu (0.5000, 0.5000, 0.5000)  8 Ru 2.85
Ru (0.2500, 0.2500, 0.2500)  4 Lu 2.85, 4 Tm 2.85
Ru (0.7500, 0.7500, 0.7500)  4 Lu 2.85, 4 Tm 2.85

Computed properties:
calculated total energy: -7.92 eV/atom
ΔE_f: -1.56 eV per formula unit
crystal system: cubic


A plane-wave DFT calculation with PBEsol was carried out for crystalline BeCr2Ir at its relaxed geometry.

abc: 2.8695 3.7402 4.2183
angles: 90.00 90.00 90.00
With the nearest neighbours (Å) after each atom.
Positions (direct):
Be (0.0000, 0.0000, 0.0000)  4 Ir 2.36, 4 Cr 2.55
Cr (0.0000, 0.5000, 0.5000)  4 Cr 2.36, 4 Ir 2.55
Cr (0.5000, 0.0000, 0.5000)  4 Cr 2.36, 4 Be 2.55
Ir (0.5000, 0.5000, 0.0000)  4 Be 2.36, 4 Cr 2.55

Computed properties:
calculated total energy: -8.72 eV/atom
ΔE_f: -0.56 eV per formula unit
crystal system: orthorhombic


A plane-wave DFT calculation with PBEsol was carried out for crystalline BeCu2SN at its relaxed geometry.

abc: 3.4915 3.4915 6.3433
angles: 90.00 90.00 90.00
With the nearest neighbours (Å) after each atom.
Positions (direct):
Be (0.0000, 0.0000, 0.0000)  4 S 2.47
Cu (0.0000, 0.5000, 0.5000)  2 N 1.75
Cu (0.5000, 0.0000, 0.5000)  2 N 1.75
S (0.5000, 0.5000, 0.0000)  4 Be 2.47
N (0.5000, 0.5000, 0.5000)  4 Cu 1.75

Computed properties:
calculated total energy: -4.64 eV/atom
formation energy without anion corrections: 0.47 eV/atom
crystal system: tetragonal


A plane-wave DFT calculation with PBEsol was carried out for crystalline CaHf3Ge at its relaxed geometry.

abc: 5.0492 5.0492 5.0492
angles: 90.00 90.00 90.00
With the nearest neighbours (Å) after each atom.
Positions (direct):
Ca (0.0000, 0.0000, 0.0000)  12 Hf 3.57
Hf (0.0000, 0.5000, 0.5000)  2 Ge 2.52
Hf (0.5000, 0.0000, 0.5000)  2 Ge 2.52
Hf (0.5000, 0.5000, 0.0000)  2 Ge 2.52
Ge (0.5000, 0.5000, 0.5000)  6 Hf 2.52

Computed properties:
calculated total energy: -7.35 eV/atom
ΔE_f: 1.81 eV per formula unit
crystal system: cubic
excess energy over the best structure of this formula in the dataset: 0.000 eV per atom